# SmTaNi2O6 PBE+U relaxed
data_SmTaNi2O6
_symmetry_space_group_name_H-M 'R 3'
_symmetry_Int_Tables_number 146
_symmetry_space_group_name_Hall 'R 3'
_cell_length_a 5.3636
_cell_length_b 5.3636
_cell_length_c 14.4628
_cell_angle_alpha 90.00
_cell_angle_beta 90.00
_cell_angle_gamma 120.00
loop_
_atom_site_label
_atom_site_type_symbol
_atom_site_fract_x
_atom_site_fract_y
_atom_site_fract_z
_atom_site_occupancy
Sm1 Sm 0.0000 0.0000 0.0000 1
Ta1 Ta 0.0000 0.0000 0.5135 1
Ni1 Ni 0.0000 0.0000 0.2149 1
Ni2 Ni 0.0000 0.0000 0.7170 1
O1 O 0.0027 0.3464 0.7877 1
O2 O 0.0743 0.7073 0.2788 1
# Calculated total energy: -74.33 eV per formula unit
# N(E_F): 0.00 states/eV/atom
# Crystal system: trigonal
# Total magnetic moment: 12.00 Bohr magnetons per cell